This record from Alexandria via LeMat-Bulk describes a relaxed structure of K2Li2ZnF6. The functional is GGA-PBE.

For the uncorrected formation energy, the calculation gives -29.44 eV/f.u. For the energy, the calculation gives -47.96 eV/f.u. For the magnetic moment, the calculation gives 0.000 μB/atom.

a b c (Å): 5.8599 5.8100 6.1479
angles (deg): 112.88 90.00 120.28
With the nearest neighbours (Å) after each atom.
Fractional positions:
1 Zn 0.5000 0.0000 0.5000  6 F 2.07-2.09
2 F 0.2217 0.9326 0.2336  1 Li 1.80
3 F 0.7109 0.9326 0.2336  1 Li 1.80
4 F 0.2891 0.0674 0.7664  1 Li 1.80
5 F 0.7783 0.0674 0.7664  1 Li 1.80
6 F 0.2716 0.5432 0.3787  1 Li 1.78
7 F 0.7284 0.4568 0.6213  1 Li 1.78
8 Li 0.0744 0.1488 0.2739  3 F 1.78-1.80
9 Li 0.9256 0.8512 0.7261  3 F 1.78-1.80
10 K 0.2914 0.5827 0.8372  5 F 2.69-2.85
11 K 0.7086 0.4173 0.1628  5 F 2.69-2.85